# 1
DFT (PBE) results for a relaxed structure of LiCa3Pu2S6.

Cell: 6.925 6.925 6.935 Å, 99.60 99.60 119.95°
Element x y z (fractional)
Li  0.000  0.000  0.000
Ca  0.165  0.835  0.500
Ca  0.500  0.500  0.500
Ca  0.835  0.165  0.500
Pu  0.333  0.667  0.000
Pu  0.667  0.333  0.000
S  0.082  0.418  0.245
S  0.255  0.255  0.754
S  0.418  0.082  0.245
S  0.582  0.918  0.755
S  0.745  0.745  0.246
S  0.918  0.582  0.755

D(E_F) ... 1.41 states/eV/atom
Uncorrected formation energy ... -1.86 eV per atom

***

# 2
DFT (PBE) results for a relaxed structure of Li2PaTe5.

Cell: 8.442 8.442 8.442 Å, 120.41 120.41 89.30°
Element x y z (fractional)
Li  0.129  0.629  0.758
Li  0.371  0.129  0.500
Li  0.629  0.871  0.500
Li  0.871  0.371  0.242
Pa  0.250  0.250  0.000
Pa  0.750  0.750  0.000
Te  0.000  0.000  0.000
Te  0.040  0.176  0.500
Te  0.176  0.676  0.136
Te  0.324  0.460  0.500
Te  0.460  0.960  0.136
Te  0.500  0.500  0.000
Te  0.540  0.040  0.864
Te  0.676  0.540  0.500
Te  0.824  0.324  0.864
Te  0.960  0.824  0.500

D(E_F) ... 0.60 states/eV/atom
Uncorrected formation energy ... -0.57 eV per atom

***

# 3
DFT (PBE) results for a relaxed structure of LiReAu2.

Cell: 6.380 6.380 6.380 Å, 90.00 90.00 90.00°
Element x y z (fractional)
Li  0.000  0.000  0.000
Li  0.000  0.500  0.500
Li  0.500  0.000  0.500
Li  0.500  0.500  0.000
Re  0.000  0.000  0.500
Re  0.000  0.500  0.000
Re  0.500  0.000  0.000
Re  0.500  0.500  0.500
Au  0.250  0.250  0.250
Au  0.250  0.250  0.750
Au  0.250  0.750  0.250
Au  0.250  0.750  0.750
Au  0.750  0.250  0.250
Au  0.750  0.250  0.750
Au  0.750  0.750  0.250
Au  0.750  0.750  0.750

Energy relative to the elements ... 0.37 eV/atom
D(E_F) ... 0.44 states/eV/atom

***

# 4
DFT (PBE) results for a relaxed structure of PrSi3Os3.

Cell: 6.549 6.549 6.549 Å, 90.00 90.00 90.00°
Element x y z (fractional)
Pr  0.000  0.000  0.000
Pr  0.500  0.500  0.500
Si  0.000  0.250  0.500
Si  0.000  0.750  0.500
Si  0.250  0.500  0.000
Si  0.500  0.000  0.250
Si  0.500  0.000  0.750
Si  0.750  0.500  0.000
Os  0.000  0.500  0.250
Os  0.000  0.500  0.750
Os  0.250  0.000  0.500
Os  0.500  0.250  0.000
Os  0.500  0.750  0.000
Os  0.750  0.000  0.500

D(E_F) ... 0.36 states/eV/atom
Uncorrected formation energy ... 0.00 eV per atom

***

Q: Which formula does entry 1 have?
A: LiCa3Pu2S6

***

Copy entry 3 word for word.
DFT (PBE) results for a relaxed structure of LiReAu2.

Cell: 6.380 6.380 6.380 Å, 90.00 90.00 90.00°
Element x y z (fractional)
Li  0.000  0.000  0.000
Li  0.000  0.500  0.500
Li  0.500  0.000  0.500
Li  0.500  0.500  0.000
Re  0.000  0.000  0.500
Re  0.000  0.500  0.000
Re  0.500  0.000  0.000
Re  0.500  0.500  0.500
Au  0.250  0.250  0.250
Au  0.250  0.250  0.750
Au  0.250  0.750  0.250
Au  0.250  0.750  0.750
Au  0.750  0.250  0.250
Au  0.750  0.250  0.750
Au  0.750  0.750  0.250
Au  0.750  0.750  0.750

Energy relative to the elements ... 0.37 eV/atom
D(E_F) ... 0.44 states/eV/atom